## 1
Here is a relaxed Pr2SmZn2Si4Au2 crystal from OQMD via LeMat-Bulk. Energies are from PBE-GGA.

Values from the calculation:
SG ... Immm, No. 71
Volume ... 224.2 Å³/cell

The structure in POSCAR format:
```
Pr2SmZn2Si4Au2
1.0
-2.119 2.132 12.405
2.119 -2.132 12.405
2.119 2.132 -12.405
Pr Sm Zn Si Au
2 1 2 4 2
direct
0.145 0.145 0.000
0.855 0.855 0.000
0.000 0.500 0.500
0.406 0.406 0.000
0.594 0.594 0.000
0.310 0.310 0.000
0.453 0.953 0.500
0.547 0.047 0.500
0.690 0.690 0.000
0.251 0.751 0.500
0.749 0.249 0.500
```



## 2
Here is a relaxed Pr2SmZn2Si4Au2 crystal from OQMD via LeMat-Bulk. Energies are from PBE-GGA.

Values from the calculation:
SG ... Immm, No. 71
Volume ... 225.4 Å³/cell

The structure in POSCAR format:
```
Pr2SmZn2Si4Au2
1.0
-2.094 2.139 12.578
2.094 -2.139 12.578
2.094 2.139 -12.578
Pr Sm Zn Si Au
2 1 2 4 2
direct
0.147 0.147 0.000
0.853 0.853 0.000
0.500 0.000 0.500
0.250 0.750 0.500
0.750 0.250 0.500
0.047 0.547 0.500
0.307 0.307 0.000
0.693 0.693 0.000
0.953 0.453 0.500
0.405 0.405 0.000
0.595 0.595 0.000
```



Which is most stable, and by how much? 2, by 42 meV/atom.



## 1
Here is a relaxed Pr3Zn2Si4Au2 crystal from OQMD via LeMat-Bulk. Energies are from PBE-GGA.

Values from the calculation:
SG ... Immm, No. 71
Volume ... 227.2 Å³/cell

The structure in POSCAR format:
```
Pr3Zn2Si4Au2
1.0
-2.125 2.150 12.435
2.125 -2.150 12.435
2.125 2.150 -12.435
Pr Zn Si Au
3 2 4 2
direct
0.000 0.000 0.000
0.146 0.646 0.500
0.854 0.354 0.500
0.405 0.905 0.500
0.595 0.095 0.500
0.309 0.809 0.500
0.452 0.452 0.000
0.548 0.548 0.000
0.691 0.191 0.500
0.250 0.250 0.000
0.750 0.750 0.000
```



## 2
Here is a relaxed Pr3Zn2Si4Au2 crystal from OQMD via LeMat-Bulk. Energies are from PBE-GGA.

Values from the calculation:
SG ... Immm, No. 71
Volume ... 228.3 Å³/cell

The structure in POSCAR format:
```
Pr3Zn2Si4Au2
1.0
-2.115 2.142 12.599
2.115 -2.142 12.599
2.115 2.142 -12.599
Pr Zn Si Au
3 2 4 2
direct
0.000 0.000 0.000
0.352 0.852 0.500
0.648 0.148 0.500
0.250 0.250 0.000
0.750 0.750 0.000
0.193 0.693 0.500
0.453 0.453 0.000
0.547 0.547 0.000
0.807 0.307 0.500
0.096 0.596 0.500
0.904 0.404 0.500
```



Which is most stable, and by how much? 2, by 37 meV/atom.



## 1
Here is a relaxed Sr2PrAu2 crystal from OQMD via LeMat-Bulk. Energies are from PBE-GGA.

Values from the calculation:
SG ... I4/mmm, No. 139
Volume ... 157.9 Å³/cell

The structure in POSCAR format:
```
Sr2PrAu2
1.0
-2.410 2.410 6.796
2.410 -2.410 6.796
2.410 2.410 -6.796
Sr Pr Au
2 1 2
direct
0.250 0.750 0.500
0.750 0.250 0.500
0.000 0.000 0.000
0.400 0.400 0.000
0.600 0.600 0.000
```



## 2
Here is a relaxed Sr2PrAu2 crystal from OQMD via LeMat-Bulk. Energies are from PBE-GGA.

Values from the calculation:
SG ... I4/mmm, No. 139
Volume ... 164.9 Å³/cell

The structure in POSCAR format:
```
Sr2PrAu2
1.0
-2.723 2.723 5.562
2.723 -2.723 5.562
2.723 2.723 -5.562
Sr Pr Au
2 1 2
direct
0.151 0.151 0.000
0.849 0.849 0.000
0.500 0.500 0.000
0.250 0.750 0.500
0.750 0.250 0.500
```



Which is most stable, and by how much? 1, by 175 meV/atom.



## 1
Here is a relaxed Pr2Te3Au crystal from OQMD via LeMat-Bulk. Energies are from PBE-GGA.

Values from the calculation:
SG ... Pnma, No. 62
Volume ... 722.6 Å³/cell

The structure in POSCAR format:
```
Pr2Te3Au
1.0
11.304 0.000 0.000
0.000 4.260 0.000
0.000 0.000 15.005
Pr Te Au
8 12 4
direct
0.014 0.250 0.250
0.238 0.750 0.523
0.262 0.250 0.023
0.486 0.750 0.750
0.514 0.250 0.250
0.738 0.750 0.977
0.762 0.250 0.477
0.986 0.750 0.750
0.048 0.250 0.598
0.070 0.750 0.095
0.236 0.750 0.854
0.264 0.250 0.354
0.430 0.250 0.595
0.452 0.750 0.098
0.548 0.250 0.902
0.570 0.750 0.405
0.736 0.750 0.646
0.764 0.250 0.146
0.930 0.250 0.905
0.952 0.750 0.402
0.244 0.250 0.719
0.256 0.750 0.219
0.744 0.250 0.781
0.756 0.750 0.281
```



## 2
Here is a relaxed Pr2Te3Au crystal from OQMD via LeMat-Bulk. Energies are from PBE-GGA.

Values from the calculation:
SG ... Pnma, No. 62
Volume ... 734.1 Å³/cell

The structure in POSCAR format:
```
Pr2Te3Au
1.0
8.585 0.000 0.000
0.000 4.363 0.000
0.000 0.000 19.599
Pr Te Au
8 12 4
direct
0.073 0.250 0.204
0.210 0.750 0.503
0.290 0.250 0.003
0.427 0.750 0.704
0.573 0.250 0.296
0.710 0.750 0.997
0.790 0.250 0.497
0.927 0.750 0.796
0.053 0.750 0.080
0.144 0.250 0.386
0.168 0.250 0.739
0.332 0.750 0.239
0.356 0.750 0.886
0.447 0.250 0.580
0.553 0.750 0.420
0.644 0.250 0.114
0.668 0.250 0.761
0.832 0.750 0.261
0.856 0.750 0.614
0.947 0.250 0.920
0.071 0.250 0.600
0.429 0.750 0.100
0.571 0.250 0.900
0.929 0.750 0.400
```



Which is most stable, and by how much? 2, by 30 meV/atom.